[1]
Entry from the Alexandria database: crystalline InSbCl2 at its relaxed geometry (PBE).

Computed properties:
* energy above the lowest structure with this stoichiometry: 31.3 kJ/mol of atoms
* D(E_F): 2.96 states/eV per cell

a b c (Å): 5.6392 5.6392 5.6392
angles (deg): 131.30 131.30 71.34
Fractional positions:
In (0.0000, 0.0000, 0.0000)
Sb (0.5000, 0.5000, 0.0000)
Cl (0.2500, 0.7500, 0.5000)
Cl (0.7500, 0.2500, 0.5000)

=====

[2]
Entry from the Alexandria database: crystalline InSbCl2 at its relaxed geometry (PBE).

Computed properties:
* energy above the lowest structure with this stoichiometry: 17.7 kJ/mol of atoms
* D(E_F): 2.88 states/eV per cell

a b c (Å): 7.8217 7.8217 7.8217
angles (deg): 154.00 145.65 43.58
Fractional positions:
In (0.0000, 0.0000, 0.0000)
Sb (0.1824, 0.6824, 0.5000)
Cl (0.4445, 0.4445, 0.0000)
Cl (0.7006, 0.2006, 0.5000)

=====

[3]
Entry from the Alexandria database: crystalline InSb2Cl at its relaxed geometry (PBE).

Computed properties:
* D(E_F): 0.12 states/eV per cell

a b c (Å): 8.9491 8.9491 8.9491
angles (deg): 27.62 27.62 27.62
Fractional positions:
In (0.0000, 0.0000, 0.0000)
Sb (0.2394, 0.2394, 0.2394)
Sb (0.5113, 0.5113, 0.5113)
Cl (0.7243, 0.7243, 0.7243)

=====

[4]
Entry from the Alexandria database: crystalline InSb2Cl at its relaxed geometry (PBE).

Computed properties:
* D(E_F): 0.32 states/eV per cell

a b c (Å): 3.3399 4.1081 9.2503
angles (deg): 90.00 100.39 90.00
Fractional positions:
In (0.0000, 0.0000, 0.0000)
Sb (0.6634, 0.5000, 0.3017)
Sb (0.7741, 0.0000, 0.5211)
Cl (0.4338, 0.5000, 0.8432)

=====

[5]
Entry from the Alexandria database: crystalline InSbCl2 at its relaxed geometry (PBE).

Computed properties:
* energy above the lowest structure with this stoichiometry: 36.3 kJ/mol of atoms
* D(E_F): 5.17 states/eV per cell

a b c (Å): 5.1590 5.1590 5.1590
angles (deg): 60.00 60.00 60.00
Fractional positions:
In (0.0000, 0.0000, 0.0000)
Sb (0.2500, 0.2500, 0.2500)
Cl (0.5000, 0.5000, 0.5000)
Cl (0.7500, 0.7500, 0.7500)

=====

[6]
Entry from the Alexandria database: crystalline In2Sb2Cl at its relaxed geometry (PBE).

Computed properties:
* energy above the lowest structure with this stoichiometry: 17.8 kJ/mol of atoms
* D(E_F): 8.34 states/eV per cell

a b c (Å): 8.7264 8.7264 3.6205
angles (deg): 90.00 90.00 90.00
Fractional positions:
In (0.1633, 0.3367, 0.0000)
In (0.3367, 0.8367, 0.0000)
In (0.6633, 0.1633, 0.0000)
In (0.8367, 0.6633, 0.0000)
Sb (0.1345, 0.6345, 0.5000)
Sb (0.3655, 0.1345, 0.5000)
Sb (0.6345, 0.8655, 0.5000)
Sb (0.8655, 0.3655, 0.5000)
Cl (0.0000, 0.0000, 0.0000)
Cl (0.5000, 0.5000, 0.0000)

=====

[7]
Entry from the Alexandria database: crystalline InSb2Cl at its relaxed geometry (PBE).

Computed properties:
* D(E_F): 1.99 states/eV per cell

a b c (Å): 3.3568 5.5884 5.7320
angles (deg): 90.00 90.00 90.00
Fractional positions:
In (0.0000, 0.0000, 0.0000)
Sb (0.0000, 0.5000, 0.5000)
Sb (0.5000, 0.0000, 0.5000)
Cl (0.5000, 0.5000, 0.0000)

=====

[8]
Entry from the Alexandria database: crystalline InSb2Cl at its relaxed geometry (PBE).

Computed properties:
* D(E_F): 1.20 states/eV per cell

a b c (Å): 12.6068 12.6068 12.6068
angles (deg): 159.84 159.84 28.66
Fractional positions:
In (0.0000, 0.0000, 0.0000)
In (0.7500, 0.2500, 0.5000)
Sb (0.0861, 0.6250, 0.9611)
Sb (0.3750, 0.3361, 0.4611)
Sb (0.6639, 0.1250, 0.0389)
Sb (0.8750, 0.9139, 0.5389)
Cl (0.2500, 0.7500, 0.5000)
Cl (0.5000, 0.5000, 0.0000)

=====

no.,formation energy from raw total energies (kJ/mol of formula units)
1,-68.0
2,-122.1
3,-133.6
4,-107.9
5,-47.9
6,-26.4
7,-22.3
8,-66.3